Record 1
This record from Alexandria describes a relaxed AsOs2Pt crystal. The functional is PBE.

```
data_AsOs2Pt
_cell_length_a 2.7836
_cell_length_b 4.6971
_cell_length_c 4.7106
_cell_angle_alpha 90.00
_cell_angle_beta 90.00
_cell_angle_gamma 90.00
_space_group_name_H-M_alt 'P m m m'
_space_group_IT_number 47
_space_group_name_Hall '-P 2 2'
loop_
_atom_site_label
_atom_site_type_symbol
_atom_site_fract_x
_atom_site_fract_y
_atom_site_fract_z
As1 As 0.0000 0.0000 0.0000
Os1 Os 0.0000 0.5000 0.5000
Os2 Os 0.5000 0.0000 0.5000
Pt1 Pt 0.5000 0.5000 0.0000
```

---

Record 2
This record from Alexandria describes a relaxed AsOs2Pt crystal. The functional is PBE.

```
data_AsOs2Pt
_cell_length_a 4.0078
_cell_length_b 4.0078
_cell_length_c 3.7270
_cell_angle_alpha 90.00
_cell_angle_beta 90.00
_cell_angle_gamma 90.00
_space_group_name_H-M_alt 'P 4/m m m'
_space_group_IT_number 123
_space_group_name_Hall '-P 4 2'
loop_
_atom_site_label
_atom_site_type_symbol
_atom_site_fract_x
_atom_site_fract_y
_atom_site_fract_z
As1 As 0.0000 0.0000 0.0000
Os1 Os 0.0000 0.5000 0.5000
Pt1 Pt 0.5000 0.5000 0.0000
```

---

| no. | ΔE_f (eV/atom) | E_tot (eV per atom) |
| --- | --- | --- |
| 1 | 0.523 | -7.76 |
| 2 | 0.510 | -7.78 |